# Tl2MoF2 GGA+U relaxed
# Offset from the most stable computed form, meV/atom: 0
# Spin magnetization, μB per formula unit: 5.5
# DFT total energy, eV per atom: -3.82
data_Tl2MoF2
_chemical_formula_sum 'Tl4 Mo2 F4'
_space_group_name_H-M_alt 'I 4/m m m'
_space_group_IT_number 139
_space_group_name_Hall '-I 4 2'
_cell_length_a 4.0883
_cell_length_b 4.0883
_cell_length_c 13.6712
_cell_angle_alpha 90.00
_cell_angle_beta 90.00
_cell_angle_gamma 90.00
loop_
_atom_site_label
_atom_site_fract_x
_atom_site_fract_y
_atom_site_fract_z
_atom_site_occupancy
Tl1 0.0000 0.0000 0.1390 1
Mo1 0.0000 0.0000 0.5000 1
F1 0.0000 0.5000 0.2500 1